1.
First-principles (PBE-GGA) data for an optimized crystal structure of Bi2RhSe2, as listed in the Alexandria database.

Calculated values
M_tot = 0.00 μB per formula unit
energy above the most stable polymorph in this dataset = 191 meV per atom
ΔE_f (raw) = -0.008 eV per atom
E_tot = -22.12 eV/f.u.
DOS at the Fermi energy = 9.249 states/eV per cell

The structure in POSCAR format:
```
Bi2RhSe2
1.0
6.580 0.000 0.000
0.000 6.580 0.000
0.000 0.000 5.932
Bi Rh Se
4 2 4
Cartesian
1.302 1.988 0.000
1.988 5.278 0.000
4.592 1.302 0.000
5.278 4.592 0.000
0.000 0.000 2.966
3.290 3.290 2.966
1.056 2.233 2.966
2.233 5.523 2.966
4.346 1.056 2.966
5.523 4.346 2.966
```

***

2.
First-principles (PBE-GGA) data for an optimized crystal structure of BiRhSe3, as listed in the Alexandria database.

Calculated values
M_tot = 0.00 μB per formula unit
energy above the most stable polymorph in this dataset = 0 meV per atom
ΔE_f (raw) = 0.148 eV per atom
E_tot = -20.94 eV/f.u.
DOS at the Fermi energy = 6.965 states/eV per cell

The structure in POSCAR format:
```
BiRhSe3
1.0
4.915 0.000 0.000
0.000 4.915 0.000
0.000 0.000 4.915
Bi Rh Se
1 1 3
Cartesian
0.000 0.000 0.000
2.457 2.457 2.457
0.000 2.457 2.457
2.457 0.000 2.457
2.457 2.457 0.000
```

***

3.
First-principles (PBE-GGA) data for an optimized crystal structure of BiRh2Se2, as listed in the Alexandria database.

Calculated values
M_tot = 0.00 μB per formula unit
energy above the most stable polymorph in this dataset = 296 meV per atom
ΔE_f (raw) = -0.010 eV per atom
E_tot = -25.60 eV/f.u.
DOS at the Fermi energy = 4.369 states/eV per cell

The structure in POSCAR format:
```
BiRh2Se2
1.0
-2.034 2.034 6.201
2.034 -2.034 6.201
2.034 2.034 -6.201
Bi Rh Se
1 2 2
Cartesian
0.000 0.000 0.000
2.034 0.000 3.101
0.000 2.034 3.101
0.000 0.000 4.565
0.000 0.000 7.838
```

***

4.
First-principles (PBE-GGA) data for an optimized crystal structure of BiRh3Se, as listed in the Alexandria database.

Calculated values
M_tot = 0.00 μB per formula unit
energy above the most stable polymorph in this dataset = 0 meV per atom
ΔE_f (raw) = 0.270 eV per atom
E_tot = -28.07 eV/f.u.
DOS at the Fermi energy = 7.897 states/eV per cell

The structure in POSCAR format:
```
BiRh3Se
1.0
4.639 0.000 0.000
0.000 4.639 0.000
0.000 0.000 4.639
Bi Rh Se
1 3 1
Cartesian
0.000 0.000 0.000
0.000 2.320 2.320
2.320 0.000 2.320
2.320 2.320 0.000
2.320 2.320 2.320
```

***

5.
First-principles (PBE-GGA) data for an optimized crystal structure of Bi5Rh3Se, as listed in the Alexandria database.

Calculated values
M_tot = 0.00 μB per formula unit
ΔE_f (raw) = -0.060 eV per atom
E_tot = -45.48 eV/f.u.
DOS at the Fermi energy = 11.141 states/eV per cell

The structure in POSCAR format:
```
Bi5Rh3Se
1.0
5.898 -4.552 0.000
5.898 4.552 0.000
-3.650 0.000 8.899
Bi Rh Se
10 6 2
Cartesian
-0.755 0.000 3.173
2.297 1.881 3.374
5.898 2.725 0.000
-0.437 0.000 8.625
5.848 1.881 5.526
2.297 -1.881 3.374
8.582 0.000 0.275
5.898 -2.725 0.000
5.848 -1.881 5.526
8.900 0.000 5.727
1.339 0.000 1.567
-0.257 0.000 5.995
5.898 0.000 0.000
4.072 0.000 4.450
8.402 0.000 2.905
6.806 0.000 7.332
2.327 0.000 6.335
5.818 0.000 2.564
```

***

6.
First-principles (PBE-GGA) data for an optimized crystal structure of Bi2RhSe2, as listed in the Alexandria database.

Calculated values
M_tot = 0.00 μB per formula unit
energy above the most stable polymorph in this dataset = 0 meV per atom
ΔE_f (raw) = -0.199 eV per atom
E_tot = -23.08 eV/f.u.
DOS at the Fermi energy = 4.362 states/eV per cell

The structure in POSCAR format:
```
Bi2RhSe2
1.0
3.112 -3.115 0.000
3.112 3.115 0.000
-3.049 0.000 12.851
Bi Rh Se
4 2 4
Cartesian
0.791 0.778 1.450
-0.734 -0.778 7.876
3.909 0.778 4.975
2.385 -0.778 11.401
0.825 0.776 9.638
2.350 -0.776 3.213
0.797 0.783 4.753
-0.728 -0.783 11.179
3.903 0.783 1.672
2.378 -0.783 8.098
```

***

- E_tot of number 3 (BiRh2Se2)?
  -25.60 eV/f.u.

***

- Number 3 is which compound?
  BiRh2Se2

***

Copy entry 1 word for word.
First-principles (PBE-GGA) data for an optimized crystal structure of Bi2RhSe2, as listed in the Alexandria database.

Calculated values
M_tot = 0.00 μB per formula unit
energy above the most stable polymorph in this dataset = 191 meV per atom
ΔE_f (raw) = -0.008 eV per atom
E_tot = -22.12 eV/f.u.
DOS at the Fermi energy = 9.249 states/eV per cell

The structure in POSCAR format:
```
Bi2RhSe2
1.0
6.580 0.000 0.000
0.000 6.580 0.000
0.000 0.000 5.932
Bi Rh Se
4 2 4
Cartesian
1.302 1.988 0.000
1.988 5.278 0.000
4.592 1.302 0.000
5.278 4.592 0.000
0.000 0.000 2.966
3.290 3.290 2.966
1.056 2.233 2.966
2.233 5.523 2.966
4.346 1.056 2.966
5.523 4.346 2.966
```